[1]
The following is a GGA-PBE calculation of a relaxed CaMn crystal, from the Alexandria database.

Results
formation enthalpy at 0 K: 132 kJ/mol of formula units
uncorrected energy: -4.90 eV per atom
magnetic moment: 7.36 Bohr magnetons per cell
V: 24.92 A^3/atom

a b c (Å): 3.349 5.355 5.558
angles (deg): 90.00 90.00 90.00
Space group Pmmn (No. 59, origin choice 2)
Asymmetric unit:
Ca  0.250  0.250  0.130 (multiplicity 2)
Mn  0.250  0.750  0.402 (multiplicity 2)



[2]
The following is a GGA-PBE calculation of a relaxed CaMn crystal, from the Alexandria database.

Results
formation enthalpy at 0 K: 95 kJ/mol of formula units
uncorrected energy: -5.09 eV per atom
magnetic moment: 14.84 Bohr magnetons per cell
V: 25.18 A^3/atom

a b c (Å): 3.492 5.286 10.913
angles (deg): 90.00 90.00 90.00
Space group Imma (No. 74)
Asymmetric unit:
Ca  0.000  0.250  0.103 (multiplicity 4)
Mn  0.000  0.250  0.658 (multiplicity 4)



[3]
The following is a GGA-PBE calculation of a relaxed CaMn crystal, from the Alexandria database.

Results
formation enthalpy at 0 K: 113 kJ/mol of formula units
uncorrected energy: -5.00 eV per atom
magnetic moment: 15.62 Bohr magnetons per cell
V: 24.88 A^3/atom

a b c (Å): 4.583 4.583 9.475
angles (deg): 90.00 90.00 90.00
Space group I4_1/amd (No. 141, origin choice 2)
Asymmetric unit:
Ca  0.000  0.250  0.375 (multiplicity 4)
Mn  0.000  0.250  0.875 (multiplicity 4)



[4]
The following is a GGA-PBE calculation of a relaxed CaMn3 crystal, from the Alexandria database.

Results
formation enthalpy at 0 K: 215 kJ/mol of formula units
uncorrected energy: -6.82 eV per atom
magnetic moment: 4.04 Bohr magnetons per cell
V: 19.13 A^3/atom

a b c (Å): 3.151 4.448 5.459
angles (deg): 90.00 90.00 90.00
Space group Pmm2 (No. 25)
Asymmetric unit:
Ca  0.000  0.000  0.000 (multiplicity 1)
Mn  0.000  0.500  0.440 (multiplicity 1)
Mn  0.500  0.000  0.493 (multiplicity 1)
Mn  0.500  0.500  0.754 (multiplicity 1)



[5]
The following is a GGA-PBE calculation of a relaxed Ca3Mn crystal, from the Alexandria database.

Results
formation enthalpy at 0 K: 140 kJ/mol of formula units
uncorrected energy: -3.43 eV per atom
magnetic moment: 7.77 Bohr magnetons per cell
V: 33.06 A^3/atom

a b c (Å): 5.137 5.137 10.021
angles (deg): 90.00 90.00 90.00
Space group I4/mmm (No. 139)
Asymmetric unit:
Ca  0.000  0.000  0.000 (multiplicity 2)
Ca  0.000  0.500  0.250 (multiplicity 4)
Mn  0.000  0.000  0.500 (multiplicity 2)



[6]
The following is a GGA-PBE calculation of a relaxed CaMn28 crystal, from the Alexandria database.

Results
formation enthalpy at 0 K: 227 kJ/mol of formula units
uncorrected energy: -8.84 eV per atom
magnetic moment: 10.14 Bohr magnetons per cell
V: 11.55 A^3/atom

a b c (Å): 8.749 8.749 8.749
angles (deg): 90.00 90.00 90.00
Space group I-43m (No. 217)
Asymmetric unit:
Ca  0.000  0.000  0.000 (multiplicity 2)
Mn  0.034  0.356  0.644 (multiplicity 24)
Mn  0.090  0.090  0.709 (multiplicity 24)
Mn  0.187  0.187  0.187 (multiplicity 8)